Material: GdCuPb
Method: DFT, PBE-GGA
State: optimized geometry

Values from the calculation:
- magnetization (Bohr magnetons per cell) = 7.21
- formation energy (meV per atom) = -315
- E (eV per atom) = -7.610

Lattice parameters (Å, degrees): 3.7477 4.6510 4.6510 120.00 90.00 90.00
Closest atoms and distances in Å follow each position.
Fractional coordinates of all 3 atoms:
Gd: 0.6666 0.6667 0.3333  6 Cu 3.27-3.28, 6 Pb 3.27
Pb: 0.1665 0.3333 0.6667  3 Cu 2.69
Cu: 0.1669 0.0000 0.0000  3 Pb 2.69



Material: LiCaCd3
Method: DFT, PBE-GGA
State: optimized geometry

Values from the calculation:
- magnetization (Bohr magnetons per cell) = 0.00
- formation energy (meV per atom) = 453
- E (eV per atom) = -0.879

Lattice parameters (Å, degrees): 5.9435 5.9435 5.9435 90.00 90.00 90.00
Closest atoms and distances in Å follow each position.
Fractional coordinates of all 5 atoms:
Cd: 0.0000 0.5000 0.0000  2 Ca 2.97
Cd: 0.5000 0.0000 0.0000  2 Ca 2.97
Cd: 0.0000 0.0000 0.5000  2 Ca 2.97
Ca: 0.0000 0.0000 0.0000  6 Cd 2.97
Li: 0.5000 0.5000 0.5000  12 Cd 4.20



Material: CuBrO2
Method: DFT, PBE-GGA
State: optimized geometry

Values from the calculation:
- magnetization (Bohr magnetons per cell) = 0.00
- energy relative to the elements, uncorrected (eV per formula unit) = -0.75
- E (eV per atom) = -4.109

Lattice parameters (Å, degrees): 3.7655 3.7655 6.0384 82.34 82.34 46.17
Closest atoms and distances in Å follow each position.
Fractional coordinates of all 4 atoms:
O: 0.0819 0.0819 0.1658  2 Cu 1.92, 1 Br 2.02
O: 0.9181 0.9181 0.8342  2 Cu 1.92, 1 Br 2.02
Br: 0.0000 0.0000 0.5000  2 O 2.02
Cu: 0.5000 0.5000 0.0000  4 O 1.92



Material: BeH2N
Method: DFT, PBE-GGA
State: optimized geometry

Values from the calculation:
- magnetization (Bohr magnetons per cell) = 0.00
- E (eV per atom) = -4.300

Lattice parameters (Å, degrees): 2.3698 2.3698 13.8821 85.10 85.10 90.00
Closest atoms and distances in Å follow each position.
Fractional coordinates of all 8 atoms:
N: 0.7500 0.2500 0.5000  4 Be 1.68
N: 0.0000 0.0000 0.0000  4 Be 1.68
H: 0.8751 0.6250 0.2500  2 H 1.18
H: 0.3750 0.1251 0.7500  2 H 1.18
H: 0.8749 0.1250 0.2500  2 H 1.18
H: 0.8750 0.1249 0.7500  2 H 1.18
Be: 0.5000 0.5000 0.0000  4 N 1.68
Be: 0.2500 0.7500 0.5000  4 N 1.68



Material: K2AlPt
Method: DFT, PBE-GGA
State: optimized geometry

Values from the calculation:
- magnetization (Bohr magnetons per cell) = 0.00
- formation energy (meV per atom) = 239
- E (eV per atom) = -2.755

Lattice parameters (Å, degrees): 5.2218 5.2218 5.2218 60.00 60.00 60.00
Closest atoms and distances in Å follow each position.
Fractional coordinates of all 4 atoms:
K: 0.2500 0.2500 0.2500  4 Al 3.20, 4 K 3.20
K: 0.0000 0.0000 0.0000  4 Pt 3.20, 4 K 3.20
Pt: 0.7500 0.7500 0.7500  4 Al 3.20, 4 K 3.20
Al: 0.5000 0.5000 0.5000  4 Pt 3.20, 4 K 3.20



Material: Sr2TiPt2
Method: DFT, PBE-GGA
State: optimized geometry

Values from the calculation:
- magnetization (Bohr magnetons per cell) = 0.00
- formation energy (meV per atom) = -527
- E (eV per atom) = -5.195

Lattice parameters (Å, degrees): 7.0038 7.0038 4.9392 90.00 90.00 90.00
Closest atoms and distances in Å follow each position.
Fractional coordinates of all 10 atoms:
Pt: 0.6405 0.1405 0.0000  2 Ti 2.70, 1 Pt 2.78
Pt: 0.3595 0.8595 0.0000  2 Ti 2.70, 1 Pt 2.78
Pt: 0.8595 0.6405 0.0000  2 Ti 2.70, 1 Pt 2.78
Pt: 0.1405 0.3595 0.0000  2 Ti 2.70, 1 Pt 2.78
Ti: 0.5000 0.5000 0.0000  4 Pt 2.70
Ti: 0.0000 0.0000 0.0000  4 Pt 2.70
Sr: 0.8271 0.3271 0.5000  6 Pt 3.09-3.31, 1 Sr 3.42
Sr: 0.6729 0.8271 0.5000  6 Pt 3.09-3.31, 1 Sr 3.42
Sr: 0.3271 0.1729 0.5000  6 Pt 3.09-3.31, 1 Sr 3.42
Sr: 0.1729 0.6729 0.5000  6 Pt 3.09-3.31, 1 Sr 3.42



Material: CoAsH3
Method: DFT, PBE-GGA
State: optimized geometry

Values from the calculation:
- magnetization (Bohr magnetons per cell) = 1.79
- E (eV per atom) = -3.357

Lattice parameters (Å, degrees): 3.6201 3.6201 3.6201 90.00 90.00 90.00
Closest atoms and distances in Å follow each position.
Fractional coordinates of all 5 atoms:
Co: 0.5000 0.5000 0.5000  12 H 2.56
H: 0.5000 0.0000 0.0000  2 As 1.81
H: 0.0000 0.5000 0.0000  2 As 1.81
H: 0.0000 0.0000 0.5000  2 As 1.81
As: 0.0000 0.0000 0.0000  6 H 1.81



Material: HoErTmIn
Method: DFT, PBE-GGA
State: optimized geometry

Values from the calculation:
- magnetization (Bohr magnetons per cell) = 0.00
- formation energy (meV per atom) = -262
- E (eV per atom) = -4.349

Lattice parameters (Å, degrees): 4.7969 4.8038 4.8023 90.00 90.00 90.00
Closest atoms and distances in Å follow each position.
Fractional coordinates of all 4 atoms:
Tm: 0.5000 0.5000 0.0000  4 Er 3.39, 4 Ho 3.39, 4 In 3.40
Er: 0.0000 0.5000 0.5000  4 Tm 3.39, 4 In 3.39, 4 Ho 3.40
In: 0.5000 0.0000 0.5000  4 Ho 3.39, 4 Er 3.39, 4 Tm 3.40
Ho: 0.0000 0.0000 0.0000  4 In 3.39, 4 Tm 3.39, 4 Er 3.40



Material: Li2ZnRe
Method: DFT, PBE-GGA
State: optimized geometry

Values from the calculation:
- magnetization (Bohr magnetons per cell) = 0.00
- formation energy (meV per atom) = 124
- E (eV per atom) = -4.263

Lattice parameters (Å, degrees): 2.6184 2.6184 9.1403 90.00 90.00 105.28
Closest atoms and distances in Å follow each position.
Fractional coordinates of all 4 atoms:
Zn: 0.5000 0.5000 0.7479  4 Zn 2.62, 2 Li 2.66, 2 Re 2.72
Re: 0.0000 0.0000 0.5059  4 Re 2.62, 2 Li 2.72, 2 Zn 2.72
Li: 0.0000 0.0000 0.9814  4 Li 2.62, 2 Zn 2.66
Li: 0.5000 0.5000 0.2648  4 Li 2.62, 2 Re 2.72



Material: LaNiPdPb
Method: DFT, PBE-GGA
State: optimized geometry

Values from the calculation:
- magnetization (Bohr magnetons per cell) = 0.00
- formation energy (meV per atom) = -395
- E (eV per atom) = -5.298

Lattice parameters (Å, degrees): 4.9394 4.9394 4.9394 60.00 60.00 60.00
Closest atoms and distances in Å follow each position.
Fractional coordinates of all 4 atoms:
Pd: 0.7500 0.7500 0.7500  4 Pb 3.02, 4 La 3.02
Pb: 0.0000 0.0000 0.0000  4 Pd 3.02, 4 Ni 3.02
Ni: 0.2500 0.2500 0.2500  4 Pb 3.02, 4 La 3.02
La: 0.5000 0.5000 0.5000  4 Ni 3.02, 4 Pd 3.02



Material: SrOsRuO6
Method: DFT, PBE-GGA
State: optimized geometry

Values from the calculation:
- magnetization (Bohr magnetons per cell) = 0.02
- energy relative to the elements, uncorrected (eV per formula unit) = -13.35
- E (eV per atom) = -7.254

Lattice parameters (Å, degrees): 5.3313 5.3313 5.2353 90.00 90.00 60.00
Closest atoms and distances in Å follow each position.
Fractional coordinates of all 9 atoms:
O: 0.3826 0.9942 0.7000  1 Os 1.95, 1 Ru 1.99
O: 0.9942 0.3826 0.2999  1 Os 1.95, 1 Ru 1.99
O: 0.9941 0.6233 0.7000  1 Os 1.95, 1 Ru 1.99
O: 0.6232 0.9942 0.2999  1 Os 1.95, 1 Ru 1.99
O: 0.3826 0.6232 0.2999  1 Os 1.95, 1 Ru 1.99
O: 0.6232 0.3826 0.7000  1 Os 1.95, 1 Ru 1.99
Sr: 0.0000 0.0000 0.0000  6 O 2.56
Os: 0.6666 0.6667 0.5000  6 O 1.95
Ru: 0.3333 0.3333 0.5000  6 O 1.99



Material: LiHfUO6
Method: DFT, PBE-GGA
State: optimized geometry

Values from the calculation:
- magnetization (Bohr magnetons per cell) = 0.63
- energy relative to the elements, uncorrected (eV per formula unit) = -24.95
- E (eV per atom) = -8.651

Lattice parameters (Å, degrees): 4.9458 4.9458 9.6724 90.00 90.00 90.00
Closest atoms and distances in Å follow each position.
Fractional coordinates of all 18 atoms:
O: 0.2015 0.7985 0.1755  1 U 2.07, 1 Hf 2.09, 1 Li 2.21
O: 0.7027 0.7027 0.3253  1 Hf 2.06, 1 U 2.08, 1 Li 2.20
O: 0.7985 0.2015 0.1755  1 U 2.07, 1 Hf 2.09, 1 Li 2.21
O: 0.7015 0.7015 0.6755  1 U 2.07, 1 Hf 2.09, 1 Li 2.21
O: 0.6851 0.6851 0.9983  1 U 2.07, 1 Hf 2.11, 1 Li 2.20
O: 0.8149 0.1851 0.4983  1 U 2.07, 1 Hf 2.11, 1 Li 2.20
O: 0.1851 0.8149 0.4983  1 U 2.07, 1 Hf 2.11, 1 Li 2.20
O: 0.3149 0.3149 0.9983  1 U 2.07, 1 Hf 2.11, 1 Li 2.20
O: 0.7973 0.2027 0.8253  1 Hf 2.06, 1 U 2.08, 1 Li 2.20
O: 0.2985 0.2985 0.6755  1 U 2.07, 1 Hf 2.09, 1 Li 2.21
O: 0.2027 0.7973 0.8253  1 Hf 2.06, 1 U 2.08, 1 Li 2.20
O: 0.2973 0.2973 0.3253  1 Hf 2.06, 1 U 2.08, 1 Li 2.20
Hf: 0.5000 0.5000 0.1703  6 O 2.06-2.11
Hf: 0.0000 0.0000 0.6703  6 O 2.06-2.11
U: 0.0000 0.0000 0.3319  6 O 2.07-2.08
U: 0.5000 0.5000 0.8319  6 O 2.07-2.08
Li: 0.0000 0.0000 0.9995  6 O 2.20-2.21
Li: 0.5000 0.5000 0.4995  6 O 2.20-2.21



| no. | volume (Å³/atom) |
| --- | --- |
| 1 | 23.40 |
| 2 | 41.99 |
| 3 | 15.28 |
| 4 | 9.67 |
| 5 | 25.17 |
| 6 | 24.23 |
| 7 | 9.49 |
| 8 | 27.67 |
| 9 | 15.11 |
| 10 | 21.30 |
| 11 | 14.32 |
| 12 | 13.14 |